1.
# Tb6Sm2Ho3Er GGA-PBE optimized geometry
data_Tb6Sm2Ho3Er
_symmetry_space_group_name_H-M 'C 1 2/m 1'
_symmetry_Int_Tables_number 12
_symmetry_space_group_name_Hall '-C 2y'
_cell_length_a 6.162
_cell_length_b 10.664
_cell_length_c 11.791
_cell_angle_alpha 90.00
_cell_angle_beta 99.97
_cell_angle_gamma 90.00
loop_
_atom_site_label
_atom_site_fract_x
_atom_site_fract_y
_atom_site_fract_z
Tb1 0.248 0.000 0.248
Tb2 0.249 0.334 0.248
Sm1 0.000 0.333 0.500
Ho1 0.000 0.166 0.000
Ho2 0.000 0.500 0.000
Er1 0.000 0.000 0.500
# Energy of formation ... 15 meV/atom
# Calculated total energy ... -110.7 eV/cell
# Total magnetic moment ... 0.00 μB per formula unit



2.
# Mn3SiIr GGA-PBE optimized geometry
data_Mn3SiIr
_symmetry_space_group_name_H-M 'P m -3 m'
_symmetry_Int_Tables_number 221
_symmetry_space_group_name_Hall '-P 4 2 3'
_cell_length_a 4.792
_cell_length_b 4.792
_cell_length_c 4.792
_cell_angle_alpha 90.00
_cell_angle_beta 90.00
_cell_angle_gamma 90.00
loop_
_atom_site_label
_atom_site_fract_x
_atom_site_fract_y
_atom_site_fract_z
Mn1 0.000 0.000 0.500
Si1 0.500 0.500 0.500
Ir1 0.000 0.000 0.000
# Formation energy (no corrections) ... 1.106 eV/atom
# Calculated total energy ... -36.3 eV/cell
# Total magnetic moment ... 12.77 μB per formula unit



3.
# AcAg3Hg3 GGA-PBE optimized geometry
data_AcAg3Hg3
_symmetry_space_group_name_H-M 'P 1 21/m 1'
_symmetry_Int_Tables_number 11
_symmetry_space_group_name_Hall '-P 2yb'
_cell_length_a 7.811
_cell_length_b 4.895
_cell_length_c 9.539
_cell_angle_alpha 90.00
_cell_angle_beta 113.00
_cell_angle_gamma 90.00
loop_
_atom_site_label
_atom_site_fract_x
_atom_site_fract_y
_atom_site_fract_z
Ac1 0.123 0.250 0.370
Ag1 0.236 0.250 0.781
Ag2 0.319 0.250 0.113
Ag3 0.370 0.750 0.972
Hg1 0.065 0.750 0.100
Hg2 0.304 0.750 0.632
Hg3 0.443 0.750 0.339
# Energy of formation ... -175 meV/atom
# Calculated total energy ... -29.6 eV/cell
# Total magnetic moment ... 0.00 μB per formula unit



4.
# NdY2Ho5Er GGA-PBE optimized geometry
data_NdY2Ho5Er
_symmetry_space_group_name_H-M 'C m c 21'
_symmetry_Int_Tables_number 36
_symmetry_space_group_name_Hall 'C 2c -2'
_cell_length_a 5.610
_cell_length_b 19.711
_cell_length_c 10.564
_cell_angle_alpha 90.00
_cell_angle_beta 90.00
_cell_angle_gamma 90.00
loop_
_atom_site_label
_atom_site_fract_x
_atom_site_fract_y
_atom_site_fract_z
Nd1 0.000 0.084 0.000
Y1 0.000 0.387 0.865
Y2 0.000 0.389 0.280
Ho1 0.000 0.021 0.283
Ho2 0.000 0.112 0.567
Ho3 0.000 0.202 0.254
Ho4 0.000 0.218 0.857
Ho5 0.000 0.481 0.570
Er1 0.000 0.299 0.557
# Energy of formation ... 158 meV/atom
# Calculated total energy ... -174.9 eV/cell
# Total magnetic moment ... 0.00 μB per formula unit